A geometry-optimized LaDy7Th3 structure. Source: the Alexandria database, functional PBE.

a = 11.6011 Å, b = 10.0671 Å, c = 6.3289 Å
α = 90.00°, β = 96.17°, γ = 90.00°
Last column: nearest neighbours and their distance in Å.
Space group C2/m (No. 12)
Symmetry-distinct sites (fractional):
La: 0.0000 0.0000 0.0000 x2  4 Dy 3.16-3.46
Dy: 0.0000 0.0000 0.5000 x2  2 La 3.16, 2 Th 3.27, 2 Dy 3.50
Dy: 0.2310 0.5000 0.7036 x4  5 Dy 3.30-3.50, 3 Th 3.35-3.43, 1 La 3.46
Dy: 0.2484 0.3258 0.2404 x8  6 Dy 3.30-3.64, 3 Th 3.47-3.57
Th: 0.0000 0.3248 0.5000 x4  7 Dy 3.27-3.53, 3 Th 3.53-3.62
Th: 0.0000 0.5000 0.0000 x2  6 Dy 3.43-3.57, 4 Th 3.62

Energy of formation from the pure elements in eV/atom: 0.2374
Energy above the lowest structure with this stoichiometry in eV/atom: 0.0176

***

A geometry-optimized TaMnSb2 structure. Source: the Alexandria database, functional PBE.

a = 3.2235 Å, b = 3.2235 Å, c = 8.2587 Å
α = 90.00°, β = 90.00°, γ = 90.00°
Last column: nearest neighbours and their distance in Å.
Space group P4mm (No. 99)
Symmetry-distinct sites (fractional):
Ta: 0.0000 0.0000 0.0000 x1  4 Mn 2.65
Mn: 0.5000 0.5000 0.1629 x1  4 Ta 2.65, 4 Sb 2.81
Sb: 0.0000 0.0000 0.3614 x1  4 Mn 2.81, 1 Ta 2.98
Sb: 0.5000 0.5000 0.7597 x1  4 Ta 3.02, 4 Sb 3.22, 1 Mn 3.33

Raw formation energy in kcal/mol of atoms: 1.0
Energy above the lowest structure with this stoichiometry in eV/atom: 0.0000

***

A geometry-optimized PuZrRh structure. Source: the Alexandria database, functional PBE.

a = 10.2023 Å, b = 4.8790 Å, c = 4.8765 Å
α = 90.00°, β = 90.27°, γ = 90.00°
Last column: nearest neighbours and their distance in Å.
Space group C2/m (No. 12)
Symmetry-distinct sites (fractional):
Pu: 0.0906 0.0000 0.2499 x4  4 Rh 2.89-2.98, 2 Pu 3.05-3.07, 3 Zr 3.13-3.15
Zr: 0.1009 0.5000 0.7510 x4  4 Rh 2.84-2.91, 3 Pu 3.13-3.15
Rh: 0.2432 0.5000 0.2517 x4  4 Zr 2.84-2.91, 4 Pu 2.89-2.98

Energy of formation from the pure elements in eV/atom: -0.3268
Energy above the lowest structure with this stoichiometry in eV/atom: 0.0000

***

A geometry-optimized LiEr2 structure. Source: the Alexandria database, functional PBE.

a = 5.3068 Å, b = 5.3068 Å, c = 3.3531 Å
α = 90.00°, β = 90.00°, γ = 120.00°
Last column: nearest neighbours and their distance in Å.
Space group P3m1 (No. 156)
Symmetry-distinct sites (fractional):
Li: 0.0000 0.0000 0.0000 x1  6 Er 3.20, 2 Li 3.35
Er: 0.3333 0.6667 0.2714 x1  3 Li 3.20, 8 Er 3.35-3.57
Er: 0.6667 0.3333 0.7228 x1  3 Li 3.20, 8 Er 3.35-3.57

Energy of formation from the pure elements in eV/atom: 0.1764
Energy above the lowest structure with this stoichiometry in eV/atom: 0.0787

***

no.,ρ (Mg/m³)
1,8.91
2,9.28
3,11.99
4,6.93